The following is a DFT calculation (GGA-PBE) of an optimized crystal structure of Pa3Mn2Ge7. Values from VASP.

Structure (Quantum ESPRESSO input):
```
&SYSTEM
  ibrav = 0, nat = 12, ntyp = 3
/
ATOMIC_SPECIES
Pa 231.04 Pa.upf
Mn 54.94 Mn.upf
Ge 72.64 Ge.upf
CELL_PARAMETERS angstrom
-0.655 1.505 3.887
2.176 -3.294 1.642
9.523 8.268 -1.596
ATOMIC_POSITIONS crystal
Pa 0.500 0.500 0.000
Pa 0.000 0.296 0.591
Pa 0.000 0.704 0.409
Mn 0.500 0.369 0.737
Mn 0.500 0.631 0.263
Ge 0.500 0.807 0.614
Ge 0.500 0.193 0.386
Ge 0.000 0.414 0.829
Ge 0.000 0.000 0.000
Ge 0.000 0.586 0.171
Ge 0.500 0.085 0.170
Ge 0.500 0.915 0.830
```

Results
energy of formation from the pure elements: -31 kJ/mol of atoms

The following is a DFT calculation (GGA-PBE) of an optimized crystal structure of LiTaBi3. Values from VASP.

Structure (Quantum ESPRESSO input):
```
&SYSTEM
  ibrav = 0, nat = 5, ntyp = 3
/
ATOMIC_SPECIES
Li 6.94 Li.upf
Bi 208.98 Bi.upf
Ta 180.95 Ta.upf
CELL_PARAMETERS angstrom
-3.650 -1.232 3.996
-1.752 -4.367 -2.946
3.797 -3.198 2.483
ATOMIC_POSITIONS crystal
Li 0.500 0.500 0.500
Bi 0.000 0.500 0.000
Bi 0.000 0.000 0.500
Bi 0.500 0.000 0.000
Ta 0.000 0.000 0.000
```

Results
energy of formation from the pure elements: 38 kJ/mol of atoms
energy relative to the lowest polymorph listed for this composition: 0 meV per atom

The following is a DFT calculation (GGA-PBE) of an optimized crystal structure of Tb2PaAl2Ru5. Values from VASP.

Structure (Quantum ESPRESSO input):
```
&SYSTEM
  ibrav = 0, nat = 20, ntyp = 4
/
ATOMIC_SPECIES
Tb 158.93 Tb.upf
Pa 231.04 Pa.upf
Al 26.98 Al.upf
Ru 101.07 Ru.upf
CELL_PARAMETERS angstrom
-0.711 1.829 2.808
-4.998 -7.949 3.912
8.605 -3.285 4.317
ATOMIC_POSITIONS crystal
Tb 0.000 0.670 0.170
Tb 0.000 0.330 0.830
Tb 0.000 0.170 0.330
Tb 0.000 0.830 0.670
Pa 0.000 0.000 0.000
Pa 0.000 0.500 0.500
Al 0.000 0.126 0.626
Al 0.000 0.874 0.374
Al 0.000 0.626 0.874
Al 0.000 0.374 0.126
Ru 0.500 0.202 0.070
Ru 0.500 0.798 0.930
Ru 0.500 0.070 0.798
Ru 0.500 0.702 0.430
Ru 0.500 0.930 0.202
Ru 0.500 0.298 0.570
Ru 0.500 0.570 0.702
Ru 0.500 0.430 0.298
Ru 0.500 0.500 0.000
Ru 0.500 0.000 0.500
```

Results
energy of formation from the pure elements: -54 kJ/mol of atoms

The following is a DFT calculation (GGA-PBE) of an optimized crystal structure of KTlS2. Values from VASP.

Structure (Quantum ESPRESSO input):
```
&SYSTEM
  ibrav = 0, nat = 4, ntyp = 3
/
ATOMIC_SPECIES
K 39.10 K.upf
Tl 204.38 Tl.upf
S 32.06 S.upf
CELL_PARAMETERS angstrom
4.028 0.000 0.000
2.014 3.489 0.000
2.014 1.163 7.464
ATOMIC_POSITIONS crystal
K 0.499 0.499 0.502
Tl 0.667 0.667 0.998
S 0.067 0.067 0.798
S 0.266 0.266 0.201
```

Results
energy relative to the elements, uncorrected: -12.56 kcal/mol of atoms
energy relative to the lowest polymorph listed for this composition: 85 meV per atom

The following is a DFT calculation (GGA-PBE) of an optimized crystal structure of RbAs2PdO6. Values from VASP.

Structure (Quantum ESPRESSO input):
```
&SYSTEM
  ibrav = 0, nat = 10, ntyp = 4
/
ATOMIC_SPECIES
Rb 85.47 Rb.upf
As 74.92 As.upf
Pd 106.42 Pd.upf
O 16.00 O.upf
CELL_PARAMETERS angstrom
5.659 0.000 0.000
2.830 4.901 0.000
2.830 1.634 6.225
ATOMIC_POSITIONS crystal
Rb 0.000 0.000 0.000
As 0.750 0.750 0.751
As 0.250 0.250 0.249
Pd 0.500 0.500 0.500
O 0.101 0.516 0.700
O 0.683 0.101 0.700
O 0.484 0.317 0.300
O 0.899 0.484 0.300
O 0.317 0.899 0.300
O 0.516 0.683 0.700
```

Results
energy relative to the elements, uncorrected: -20.65 kcal/mol of atoms

The following is a DFT calculation (GGA-PBE) of an optimized crystal structure of Ba6Zn5Cd. Values from VASP.

Structure (Quantum ESPRESSO input):
```
&SYSTEM
  ibrav = 0, nat = 12, ntyp = 3
/
ATOMIC_SPECIES
Zn 65.41 Zn.upf
Ba 137.33 Ba.upf
Cd 112.41 Cd.upf
CELL_PARAMETERS angstrom
0.165 5.795 -0.906
-7.043 -0.467 -4.267
-4.651 -1.643 7.856
ATOMIC_POSITIONS crystal
Zn 0.666 0.500 0.332
Zn 0.336 0.000 0.672
Zn 0.000 0.500 0.000
Zn 0.664 0.000 0.328
Zn 0.334 0.500 0.668
Ba 0.831 0.748 0.662
Ba 0.831 0.252 0.662
Ba 0.500 0.256 0.000
Ba 0.500 0.744 0.000
Ba 0.169 0.748 0.338
Ba 0.169 0.252 0.338
Cd 0.000 0.000 0.000
```

Results
energy of formation from the pure elements: -18 kJ/mol of atoms

no.,mass density (g/cm3)
1,9.63
2,7.91
3,10.38
4,4.87
5,4.21
6,4.93